DFT (GGA-PBE) results for a relaxed Pm2Nd3ThS6 crystal.

Properties
Size of the total moment (μB per atom): 0.0000
ΔE_f (raw) (eV per atom): -1.991
Space group: C2/m (12)

a b c (Å): 4.053 8.113 9.052
angles (deg): 102.94 102.94 90.00
Positions (direct):
1 S 0.001 0.250 0.001
2 S 0.999 0.750 0.999
3 S 0.668 0.581 0.336
4 S 0.667 0.085 0.333
5 Pm 0.166 0.331 0.332
6 Nd 0.166 0.834 0.333
7 Pm 0.834 0.669 0.668
8 Nd 0.500 0.500 0.000
9 S 0.332 0.419 0.664
10 S 0.333 0.915 0.667
11 Th 0.500 0.000 0.000
12 Nd 0.834 0.166 0.667

DFT (GGA-PBE) results for a relaxed Sn2HgC2 crystal.

Properties
Size of the total moment (μB per atom): 0.0000
ΔE to the lowest computed polymorph (eV per atom): 0.000
Formation enthalpy at 0 K (meV/atom): 1003
Space group: I4/mmm (139)

a b c (Å): 4.763 4.763 5.424
angles (deg): 63.96 63.96 90.00
Positions (direct):
1 Sn 0.250 0.750 0.500
2 Hg 0.000 0.000 0.000
3 C 0.423 0.423 0.154
4 Sn 0.750 0.250 0.500
5 C 0.577 0.577 0.846